The following is a DFT calculation (PBE) of a geometry-optimized Cs2AcCl5 structure.

Cell and atoms, written as CIF:
```
data_Cs2AcCl5
_chemical_formula_sum 'Cs8 Ac4 Cl20'
_space_group_name_H-M_alt 'P n m a'
_space_group_IT_number 62
_space_group_name_Hall '-P 2ac 2n'
_cell_length_a 14.239
_cell_length_b 9.481
_cell_length_c 8.769
_cell_angle_alpha 90.00
_cell_angle_beta 90.00
_cell_angle_gamma 90.00
loop_
_atom_site_label
_atom_site_type_symbol
_atom_site_fract_x
_atom_site_fract_y
_atom_site_fract_z
Cs1 Cs 0.171 0.003 0.047
Ac1 Ac 0.004 0.250 0.564
Cl1 Cl 0.012 0.250 0.898
Cl2 Cl 0.074 0.538 0.656
Cl3 Cl 0.172 0.250 0.377
Cl4 Cl 0.193 0.750 0.345
```

Calculated values
The uncorrected energy is -33.23 eV/f.u. The volume is 295.9 Å³/f.u.

***

The following is a DFT calculation (PBE) of a geometry-optimized Cs4AcCl7 structure.

Cell and atoms, written as CIF:
```
data_Cs4AcCl7
_chemical_formula_sum 'Cs8 Ac2 Cl14'
_space_group_name_H-M_alt 'C 1 2/m 1'
_space_group_IT_number 12
_space_group_name_Hall '-C 2y'
_cell_length_a 26.063
_cell_length_b 5.729
_cell_length_c 7.888
_cell_angle_alpha 90.00
_cell_angle_beta 107.52
_cell_angle_gamma 90.00
loop_
_atom_site_label
_atom_site_type_symbol
_atom_site_fract_x
_atom_site_fract_y
_atom_site_fract_z
Cs1 Cs 0.089 0.000 0.035
Cs2 Cs 0.208 0.000 0.689
Ac1 Ac 0.000 0.500 0.500
Cl1 Cl 0.000 0.000 0.500
Cl2 Cl 0.054 0.500 0.235
Cl3 Cl 0.104 0.500 0.766
Cl4 Cl 0.219 0.000 0.254
```

Calculated values
The uncorrected energy is -45.60 eV/f.u. The volume is 561.6 Å³/f.u.

***

Number 1: total magnetic moment 0.0 μB per formula unit. Number 2: total magnetic moment 0.3 μB per formula unit.